KNa2Hg7 | PBE | relaxed

Output
* uncorrected energy: -0.7584 eV per atom
* formation energy: -1.74 eV per formula unit

POSCAR file:
```
KNa2Hg7
1.0
5.335 0.000 0.000
-2.667 4.620 0.000
0.000 0.000 11.923
K Na Hg
1 2 7
direct
0.000 0.000 0.000
0.333 0.667 0.638
0.667 0.333 0.458
0.000 0.000 0.312
0.000 0.000 0.590
0.333 0.667 0.138
0.333 0.667 0.389
0.333 0.667 0.880
0.667 0.333 0.177
0.667 0.333 0.759
```